# 1
A plane-wave DFT calculation with GGA-PBE was carried out for an optimized crystal structure of GdDyP4Au2.

Properties
Total DFT energy (no corrections) = -42.9 eV/cell
Spin magnetization = 0.001 μB per atom
Space group = P4mm, No. 99

a b c (Å): 3.902 3.902 10.006
angles (deg): 90.00 90.00 90.00
Atoms (fractional coordinates):
P 0.000 0.000 0.312
P 0.000 0.500 0.998
P 0.500 0.500 0.691
P 0.500 0.000 0.998
Gd 0.500 0.500 0.223
Au 0.000 0.500 0.501
Au 0.500 0.000 0.501
Dy 0.000 0.000 0.776

***

# 2
A plane-wave DFT calculation with GGA-PBE was carried out for an optimized crystal structure of GdDy2Tl3PtAu2.

Properties
Total DFT energy (no corrections) = -39.3 eV/cell
Spin magnetization = 0.001 μB per atom
Space group = Amm2, No. 38

a b c (Å): 3.926 7.832 7.832
angles (deg): 120.05 90.00 90.00
Atoms (fractional coordinates):
Gd 0.000 0.399 0.399
Tl 0.500 0.000 0.262
Tl 0.500 0.738 0.738
Tl 0.500 0.262 0.000
Dy 0.000 0.000 0.602
Dy 0.000 0.602 0.000
Au 0.500 0.333 0.668
Au 0.500 0.668 0.333
Pt 0.000 0.999 0.999

***

# 3
A plane-wave DFT calculation with GGA-PBE was carried out for an optimized crystal structure of Gd2DyZn3Pt2Au.

Properties
Total DFT energy (no corrections) = -41.0 eV/cell
Spin magnetization = 0.001 μB per atom
Space group = Amm2, No. 38
ΔE_f = -0.877 eV/atom

a b c (Å): 3.871 7.385 7.385
angles (deg): 119.93 90.00 90.00
Atoms (fractional coordinates):
Pt 0.500 0.334 0.664
Pt 0.500 0.664 0.334
Gd 0.000 0.000 0.590
Gd 0.000 0.590 0.000
Au 0.000 0.002 0.002
Zn 0.500 0.259 0.001
Zn 0.500 0.741 0.741
Zn 0.500 0.001 0.259
Dy 0.000 0.409 0.409

***

# 4
A plane-wave DFT calculation with GGA-PBE was carried out for an optimized crystal structure of GdDySi2Au2.

Properties
Total DFT energy (no corrections) = -31.6 eV/cell
Spin magnetization = 0.001 μB per atom
Space group = P3m1, No. 156

a b c (Å): 4.331 4.331 7.703
angles (deg): 90.00 90.00 120.00
Atoms (fractional coordinates):
Au 0.667 0.333 0.266
Au 0.333 0.667 0.765
Gd 0.000 0.000 0.001
Si 0.333 0.667 0.225
Si 0.667 0.333 0.724
Dy 0.000 0.000 0.501

***

# 5
A plane-wave DFT calculation with GGA-PBE was carried out for an optimized crystal structure of Gd2DySn4Au4.

Properties
Total DFT energy (no corrections) = -50.2 eV/cell
Spin magnetization = 0.000 μB per atom
Space group = Immm, No. 71

a b c (Å): 8.846 8.846 8.846
angles (deg): 149.79 131.60 58.13
Atoms (fractional coordinates):
Au 0.035 0.330 0.705
Au 0.965 0.670 0.295
Au 0.625 0.330 0.295
Au 0.375 0.670 0.705
Sn 0.788 0.788 0.000
Sn 0.302 0.500 0.802
Sn 0.212 0.212 0.000
Sn 0.698 0.500 0.198
Gd 0.371 0.871 0.500
Gd 0.629 0.129 0.500
Dy 0.000 0.000 0.000

***

# 6
A plane-wave DFT calculation with GGA-PBE was carried out for an optimized crystal structure of DyGeAu.

Properties
Total DFT energy (no corrections) = -30.0 eV/cell
Spin magnetization = 0.000 μB per atom
Space group = P6_3mc, No. 186

a b c (Å): 4.486 4.486 7.278
angles (deg): 90.00 90.00 120.00
Atoms (fractional coordinates):
Au 0.667 0.333 0.543
Au 0.333 0.667 0.043
Dy 0.000 0.000 0.250
Dy 0.000 0.000 0.750
Ge 0.333 0.667 0.457
Ge 0.667 0.333 0.957

***

# 7
A plane-wave DFT calculation with GGA-PBE was carried out for an optimized crystal structure of DyGeAu.

Properties
Total DFT energy (no corrections) = -44.8 eV/cell
Spin magnetization = 0.000 μB per atom
Space group = P-62m, No. 189

a b c (Å): 7.178 7.178 4.170
angles (deg): 90.00 90.00 120.00
Atoms (fractional coordinates):
Dy 0.000 0.588 0.500
Dy 0.588 0.000 0.500
Dy 0.412 0.412 0.500
Ge 0.667 0.333 0.000
Ge 0.000 0.000 0.500
Ge 0.333 0.667 0.000
Au 0.262 0.000 0.000
Au 0.738 0.738 0.000
Au 0.000 0.262 0.000

***

# 8
A plane-wave DFT calculation with GGA-PBE was carried out for an optimized crystal structure of DyGeAu.

Properties
Total DFT energy (no corrections) = -42.1 eV/cell
Spin magnetization = 0.001 μB per atom
Space group = P-62m, No. 189

a b c (Å): 7.802 7.802 3.738
angles (deg): 90.00 90.00 120.00
Atoms (fractional coordinates):
Ge 0.667 0.333 0.000
Ge 0.000 0.000 0.500
Ge 0.333 0.667 0.000
Dy 0.000 0.282 0.000
Dy 0.718 0.718 0.000
Dy 0.282 0.000 0.000
Au 0.376 0.376 0.500
Au 0.000 0.624 0.500
Au 0.624 0.000 0.500